Version P
Density functional theory data (PBE) for a relaxed structure of CaTiIr2.

DOS at the Fermi energy = 2.10 states/eV per cell
spin magnetization = 0.000 μB/f.u.

a b c (Å): 6.4654 6.4654 6.4654
angles (deg): 90.00 90.00 90.00
Space group Fm-3m (No. 225)
One atom of each set of equivalent atoms:
Ca 0.0000 0.0000 0.0000 [4 per cell]
Ti 0.0000 0.0000 0.5000 [4 per cell]
Ir 0.2500 0.2500 0.2500 [8 per cell]

---

Version Q
Density functional theory data (PBE) for a relaxed structure of CaTiIr2.

DOS at the Fermi energy = 1.00 states/eV per cell
spin magnetization = 0.000 μB/f.u.

a b c (Å): 3.0896 3.0896 7.2805
angles (deg): 90.00 90.00 90.00
Space group P4/mmm (No. 123)
One atom of each set of equivalent atoms:
Ca 0.0000 0.0000 0.0000 [1 per cell]
Ti 0.0000 0.0000 0.5000 [1 per cell]
Ir 0.5000 0.5000 0.2939 [2 per cell]

---

Version R
Density functional theory data (PBE) for a relaxed structure of CaTiIr2.

DOS at the Fermi energy = 5.78 states/eV per cell
spin magnetization = 0.000 μB/f.u.

a b c (Å): 7.2198 7.2198 5.8342
angles (deg): 90.00 90.00 90.00
Space group I-42d (No. 122)
One atom of each set of equivalent atoms:
Ca 0.0000 0.0000 0.0000 [4 per cell]
Ti 0.0000 0.0000 0.5000 [4 per cell]
Ir 0.2055 0.2500 0.6250 [8 per cell]

---

Which of them is most stable, and which least? Most stable: version Q; least stable: version R.

---

Version P
Density functional theory data (PBE) for a relaxed structure of CaTlIr3.

DOS at the Fermi energy = 7.89 states/eV per cell
spin magnetization = 1.691 μB/f.u.

a b c (Å): 4.8640 4.8640 4.8640
angles (deg): 90.00 90.00 90.00
Space group Pm-3m (No. 221)
One atom of each set of equivalent atoms:
Ca 0.0000 0.0000 0.0000 [1 per cell]
Tl 0.5000 0.5000 0.5000 [1 per cell]
Ir 0.0000 0.0000 0.5000 [3 per cell]

---

Version Q
Density functional theory data (PBE) for a relaxed structure of CaTlIr3.

DOS at the Fermi energy = 6.66 states/eV per cell
spin magnetization = 1.702 μB/f.u.

a b c (Å): 5.0127 5.0127 5.0127
angles (deg): 90.00 90.00 90.00
Space group Pm-3m (No. 221)
One atom of each set of equivalent atoms:
Ca 0.0000 0.0000 0.0000 [1 per cell]
Tl 0.5000 0.5000 0.5000 [1 per cell]
Ir 0.0000 0.5000 0.5000 [3 per cell]

---

Which of them is most stable, and which least? Most stable: version Q; least stable: version P.

---

Version P
Density functional theory data (PBE) for a relaxed structure of CaTl3Ir.

DOS at the Fermi energy = 7.57 states/eV per cell
spin magnetization = 0.984 μB/f.u.

a b c (Å): 5.7289 5.7289 5.7289
angles (deg): 90.00 90.00 90.00
Space group Pm-3m (No. 221)
One atom of each set of equivalent atoms:
Ca 0.0000 0.0000 0.0000 [1 per cell]
Tl 0.0000 0.0000 0.5000 [3 per cell]
Ir 0.5000 0.5000 0.5000 [1 per cell]

---

Version Q
Density functional theory data (PBE) for a relaxed structure of CaTl3Ir.

DOS at the Fermi energy = 4.90 states/eV per cell
spin magnetization = 0.000 μB/f.u.

a b c (Å): 5.3131 5.3131 5.3131
angles (deg): 90.00 90.00 90.00
Space group Pm-3m (No. 221)
One atom of each set of equivalent atoms:
Ca 0.0000 0.0000 0.0000 [1 per cell]
Tl 0.0000 0.5000 0.5000 [3 per cell]
Ir 0.5000 0.5000 0.5000 [1 per cell]

---

Which of them is most stable, and which least? Most stable: version Q; least stable: version P.

---

Version P
Density functional theory data (PBE) for a relaxed structure of CaTmIr.

DOS at the Fermi energy = 0.95 states/eV per cell
spin magnetization = 0.000 μB/f.u.

a b c (Å): 6.7626 6.7626 6.7626
angles (deg): 90.00 90.00 90.00
Space group F-43m (No. 216)
One atom of each set of equivalent atoms:
Ca 0.0000 0.0000 0.0000 [4 per cell]
Tm 0.0000 0.0000 0.5000 [4 per cell]
Ir 0.2500 0.2500 0.7500 [4 per cell]

---

Version Q
Density functional theory data (PBE) for a relaxed structure of CaTmIr.

DOS at the Fermi energy = 3.38 states/eV per cell
spin magnetization = 0.000 μB/f.u.

a b c (Å): 3.4160 3.4160 13.0915
angles (deg): 90.00 90.00 90.00
Space group I4mm (No. 107)
One atom of each set of equivalent atoms:
Ca 0.0000 0.0000 0.0000 [2 per cell]
Tm 0.0000 0.0000 0.2548 [2 per cell]
Ir 0.0000 0.0000 0.6433 [2 per cell]

---

Which of them is most stable, and which least? Most stable: version P; least stable: version Q.